(1)
Compound: MoOs2Ru4Rh
Source: Alexandria
Functional: GGA-PBE
Structure: relaxed

For the density, the calculation gives 13.0 g/cm³. The magnetization is 0.0 μB/f.u. Its formation energy is 0.80 eV/atom. Its crystal system is monoclinic. The value obtained for the calculated volume is 125.3 Å³/f.u.

The structure belongs to space group C2/c (No. 15); the cell edges are 10.751, 9.961 and 5.400 Å and the angles 90.00°, 119.94° and 90.00°. The asymmetric unit holds Mo at (0.250, 0.250, 0.000), Os at (0.000, 0.000, 0.000), Os at (0.250, 0.250, 0.500), Ru at (0.000, 0.239, 0.006), Ru at (0.249, 0.495, 0.500) and Rh at (0.000, 0.500, 0.000).

(2)
Compound: MoOsRu4Rh2
Source: Alexandria
Functional: GGA-PBE
Structure: relaxed

For the density, the calculation gives 13.0 g/cm³. The magnetization is 0.0 μB/f.u. Its formation energy is 0.04 eV/atom. Its crystal system is orthorhombic. The value obtained for the calculated volume is 114.3 Å³/f.u.

The structure belongs to space group Imm2 (No. 44); the cell edges are 5.456, 7.681 and 10.913 Å and the angles 90.00°, 90.00° and 90.00°. The asymmetric unit holds Mo at (0.247, 0.000, 0.000), Os at (0.000, 0.248, 0.873), Ru at (0.000, 0.248, 0.123), Ru at (0.000, 0.252, 0.629), Ru at (0.244, 0.000, 0.752), Ru at (0.248, 0.500, 0.747), Rh at (0.000, 0.252, 0.373) and Rh at (0.247, 0.500, 0.000).

(3)
Compound: MoOsRuRh
Source: Alexandria
Functional: GGA-PBE
Structure: relaxed

For the density, the calculation gives 14.0 g/cm³. The magnetization is 0.0 μB/f.u. Its formation energy is -0.01 eV/atom. Its crystal system is tetragonal. The value obtained for the calculated volume is 58.1 Å³/f.u.

The structure belongs to space group I-4m2 (No. 119); the cell edges are 3.893, 3.893 and 7.667 Å and the angles 90.00°, 90.00° and 90.00°. The asymmetric unit holds Mo at (0.000, 0.000, 0.000), Os at (0.000, 0.500, 0.250), Ru at (0.000, 0.500, 0.750) and Rh at (0.000, 0.000, 0.500).

(4)
Compound: TcMoOsRh
Source: Alexandria
Functional: GGA-PBE
Structure: relaxed

For the density, the calculation gives 13.8 g/cm³. The magnetization is 0.0 μB/f.u. Its formation energy is -0.01 eV/atom. Its crystal system is tetragonal. The value obtained for the calculated volume is 58.8 Å³/f.u.

The structure belongs to space group I-4m2 (No. 119); the cell edges are 3.891, 3.891 and 7.763 Å and the angles 90.00°, 90.00° and 90.00°. The asymmetric unit holds Tc at (0.000, 0.000, 0.000), Mo at (0.000, 0.500, 0.250), Os at (0.000, 0.000, 0.500) and Rh at (0.000, 0.500, 0.750).

(5)
Compound: TlMoOs2Rh
Source: Alexandria
Functional: GGA-PBE
Structure: relaxed

For the density, the calculation gives 11.4 g/cm³. The magnetization is 0.0 μB/f.u. Its formation energy is 3.26 eV/atom. Its crystal system is tetragonal. The value obtained for the calculated volume is 114.2 Å³/f.u.

The structure belongs to space group P4/mmm (No. 123); the cell edges are 4.832, 4.832 and 4.890 Å and the angles 90.00°, 90.00° and 90.00°. The asymmetric unit holds Tl at (0.000, 0.000, 0.000), Mo at (0.000, 0.000, 0.500), Os at (0.000, 0.500, 0.000) and Rh at (0.500, 0.500, 0.500).

(6)
Compound: VMoOsRh
Source: Alexandria
Functional: GGA-PBE
Structure: relaxed

For the density, the calculation gives 11.2 g/cm³. The magnetization is 0.0 μB/f.u. Its formation energy is 0.22 eV/atom. Its crystal system is trigonal. The value obtained for the calculated volume is 65.1 Å³/f.u.

The structure belongs to space group R3m (No. 160, hexagonal axes); the cell edges are 4.1014, 4.1014 and 13.4140 Å and the angles 90.00°, 90.00° and 120.00°. The asymmetric unit holds V at (0.0000, 0.0000, 0.0000), Mo at (0.0000, 0.0000, 0.8070), Os at (0.0000, 0.0000, 0.4018) and Rh at (0.0000, 0.0000, 0.6012).

(7)
Compound: MoOsRhW
Source: Alexandria
Functional: GGA-PBE
Structure: relaxed

For the density, the calculation gives 15.8 g/cm³. The magnetization is 0.0 μB/f.u. Its formation energy is -0.06 eV/atom. Its crystal system is orthorhombic. The value obtained for the calculated volume is 60.2 Å³/f.u.

The structure belongs to space group Pmmm (No. 47); the cell edges are 3.881, 3.935 and 3.940 Å and the angles 90.00°, 90.00° and 90.00°. The asymmetric unit holds Mo at (0.000, 0.000, 0.000), Os at (0.500, 0.500, 0.000), Rh at (0.500, 0.000, 0.500) and W at (0.000, 0.500, 0.500).

(8)
Compound: ZrMo2OsRh
Source: Alexandria
Functional: GGA-PBE
Structure: relaxed

For the density, the calculation gives 8.8 g/cm³. The magnetization is 0.0 μB/f.u. Its formation energy is 1.27 eV/atom. Its crystal system is tetragonal. The value obtained for the calculated volume is 109.2 Å³/f.u.

The structure belongs to space group P4/mmm (No. 123); the cell edges are 4.676, 4.676 and 4.996 Å and the angles 90.00°, 90.00° and 90.00°. The asymmetric unit holds Zr at (0.000, 0.000, 0.000), Mo at (0.000, 0.500, 0.500), Os at (0.000, 0.000, 0.500) and Rh at (0.500, 0.500, 0.000).